1.
An optimized crystal structure of TbThTe2S. Source: the Alexandria database, functional PBE.

## Properties
**Formation energy from raw total energies**: -34.84 kcal/mol of atoms
**E_tot**: -6.0030 eV/atom
**Total magnetic moment**: 0.00 μB per atom
**Space-group type**: P4/nmm

The structure in POSCAR format:
```
TbThTe2S
1.0
4.379 0.000 0.000
0.000 4.379 0.000
0.000 0.000 14.939
Tb Th Te S
2 2 4 2
Direct
0.250 0.250 0.085
0.750 0.750 0.915
0.250 0.250 0.618
0.750 0.750 0.382
0.250 0.250 0.297
0.250 0.250 0.876
0.750 0.750 0.124
0.750 0.750 0.703
0.250 0.750 0.500
0.750 0.250 0.500
```

***

2.
An optimized crystal structure of TbTl2TeS4. Source: the Alexandria database, functional PBE.

## Properties
**Formation energy from raw total energies**: -16.50 kcal/mol of atoms
**E_tot**: -4.3422 eV/atom
**Total magnetic moment**: 0.00 μB per atom
**Space-group type**: P2/m

The structure in POSCAR format:
```
TbTl2TeS4
1.0
7.385 0.000 0.000
0.000 3.992 0.000
-2.607 0.000 7.351
Tb Tl Te S
1 2 1 4
Direct
0.000 0.000 0.000
0.000 0.500 0.500
0.500 0.000 0.500
0.500 0.500 0.000
0.205 0.500 0.224
0.271 0.000 0.811
0.729 0.000 0.189
0.795 0.500 0.776
```

***

3.
An optimized crystal structure of TbTlTeS. Source: the Alexandria database, functional PBE.

## Properties
**Formation energy from raw total energies**: -28.69 kcal/mol of atoms
**E_tot**: -4.8104 eV/atom
**Total magnetic moment**: 0.00 μB per atom
**Space-group type**: R3m

The structure in POSCAR format:
```
TbTlTeS
1.0
2.125 1.227 8.036
-2.125 1.227 8.036
0.000 -2.454 8.036
Tb Tl Te S
1 1 1 1
Direct
0.000 0.000 0.000
0.839 0.839 0.839
0.415 0.415 0.415
0.616 0.616 0.616
```

***

4.
An optimized crystal structure of Tb4ZnTe2S. Source: the Alexandria database, functional PBE.

## Properties
**Formation energy from raw total energies**: -28.51 kcal/mol of atoms
**E_tot**: -5.0119 eV/atom
**Total magnetic moment**: 0.00 μB per atom
**Space-group type**: P2/m

The structure in POSCAR format:
```
Tb4ZnTe2S
1.0
7.308 0.000 0.000
0.000 4.088 0.000
-2.307 0.000 7.097
Tb Zn Te S
4 1 2 1
Direct
0.235 0.000 0.215
0.259 0.500 0.774
0.741 0.500 0.226
0.765 0.000 0.785
0.500 0.000 0.000
0.000 0.000 0.500
0.500 0.500 0.500
0.000 0.500 0.000
```

***

5.
An optimized crystal structure of Tb8ZnTe4S3. Source: the Alexandria database, functional PBE.

## Properties
**Formation energy from raw total energies**: -33.65 kcal/mol of atoms
**E_tot**: -5.4134 eV/atom
**Total magnetic moment**: 0.00 μB per atom
**Space-group type**: R-3m

The structure in POSCAR format:
```
Tb8ZnTe4S3
1.0
4.124 2.381 7.035
-4.124 2.381 7.035
0.000 -4.762 7.035
Tb Zn Te S
8 1 4 3
Direct
0.235 0.235 0.235
0.236 0.739 0.739
0.261 0.261 0.764
0.261 0.764 0.261
0.739 0.236 0.739
0.739 0.739 0.236
0.764 0.261 0.261
0.765 0.765 0.765
0.500 0.500 0.500
0.000 0.000 0.000
0.000 0.500 0.500
0.500 0.000 0.500
0.500 0.500 0.000
0.000 0.000 0.500
0.000 0.500 0.000
0.500 0.000 0.000
```

***

6.
An optimized crystal structure of Tb6ZnTe3S2. Source: the Alexandria database, functional PBE.

## Properties
**Formation energy from raw total energies**: -32.15 kcal/mol of atoms
**E_tot**: -5.2888 eV/atom
**Total magnetic moment**: 0.00 μB per atom
**Space-group type**: C2/m

The structure in POSCAR format:
```
Tb6ZnTe3S2
1.0
3.589 -6.196 0.000
3.589 6.196 0.000
-2.374 0.000 7.055
Tb Zn Te S
6 1 3 2
Direct
0.092 0.428 0.783
0.236 0.236 0.214
0.428 0.092 0.783
0.572 0.908 0.217
0.764 0.764 0.786
0.908 0.572 0.217
0.500 0.500 0.000
0.000 0.000 0.500
0.334 0.666 0.500
0.666 0.334 0.500
0.166 0.834 0.000
0.834 0.166 0.000
```

***

7.
An optimized crystal structure of Tb2ThS. Source: the Alexandria database, functional PBE.

## Properties
**Formation energy from raw total energies**: -21.75 kcal/mol of atoms
**E_tot**: -6.1453 eV/atom
**Total magnetic moment**: 0.00 μB per atom
**Space-group type**: R-3m

The structure in POSCAR format:
```
Tb2ThS
1.0
1.847 1.066 9.281
-1.847 1.066 9.281
0.000 -2.133 9.281
Tb Th S
2 1 1
Direct
0.231 0.231 0.231
0.769 0.769 0.769
0.000 0.000 0.000
0.500 0.500 0.500
```

***

8.
An optimized crystal structure of TbThS. Source: the Alexandria database, functional PBE.

## Properties
**Formation energy from raw total energies**: -25.37 kcal/mol of atoms
**E_tot**: -6.4926 eV/atom
**Total magnetic moment**: 0.28 μB per atom
**Space-group type**: P3m1

The structure in POSCAR format:
```
TbThS
1.0
3.861 0.000 0.000
-1.931 3.344 0.000
0.000 0.000 6.472
Tb Th S
1 1 1
Direct
0.000 0.000 0.000
0.667 0.333 0.472
0.333 0.667 0.751
```

***

Question: Which formula does entry 7 have?
Answer: Tb2ThS